VASP calculation (GGA-PBE) on a geometry-optimized KTm4Ga3O12 structure.

Properties
Total magnetization   2.1 μB/f.u.
Formation energy without anion corrections   -2450 meV per atom
SG   No. 204
Calculated total energy   -136.57 eV for the cell shown

Cell: 7.0313 7.0313 7.0313 Å, 109.47 109.47 109.47°
Element x y z (fractional)
K: 0.0000 0.0000 0.0000
Tm: 0.0000 0.0000 0.5000
Tm: 0.0000 0.5000 0.0000
Tm: 0.5000 0.0000 0.0000
Tm: 0.5000 0.5000 0.5000
Ga: 0.0000 0.5000 0.5000
Ga: 0.5000 0.0000 0.5000
Ga: 0.5000 0.5000 0.0000
O: 0.1619 0.3286 0.4905
O: 0.1619 0.6714 0.8333
O: 0.1667 0.8381 0.3286
O: 0.3286 0.1667 0.8381
O: 0.3286 0.4905 0.1619
O: 0.4905 0.1619 0.3286
O: 0.5095 0.8381 0.6714
O: 0.6714 0.5095 0.8381
O: 0.6714 0.8333 0.1619
O: 0.8333 0.1619 0.6714
O: 0.8381 0.3286 0.1667
O: 0.8381 0.6714 0.5095

***

VASP calculation (GGA-PBE) on a geometry-optimized Pa2CuS6 structure.

Properties
Total magnetization   0.0 μB/f.u.
Formation energy without anion corrections   -1192 meV per atom
SG   No. 14
Calculated total energy   -117.16 eV for the cell shown

Cell: 6.0910 7.0440 10.3751 Å, 90.00 124.96 90.00°
Element x y z (fractional)
Pa: 0.1920 0.1342 0.2432
Pa: 0.1920 0.3658 0.7432
Pa: 0.8080 0.6342 0.2568
Pa: 0.8080 0.8658 0.7568
Cu: 0.0000 0.0000 0.5000
Cu: 0.0000 0.5000 0.0000
S: 0.1120 0.1649 0.9404
S: 0.1120 0.3351 0.4404
S: 0.2724 0.6630 0.9415
S: 0.2724 0.8370 0.4415
S: 0.4031 0.0370 0.7509
S: 0.4031 0.4630 0.2509
S: 0.5969 0.5370 0.7491
S: 0.5969 0.9630 0.2491
S: 0.7276 0.1630 0.5585
S: 0.7276 0.3370 0.0585
S: 0.8880 0.6649 0.5596
S: 0.8880 0.8351 0.0596